Computed, not measured: TlSbIr2 at its PBEsol-relaxed geometry at the meta-GGA SCAN level of DFT.

POSCAR file:
```
TlSbIr2
1.0
-2.4588 -0.7569 -1.5573
1.9719 0.2016 -3.2114
1.8863 -6.2870 2.9811
Tl Ir Sb
1 2 1
Direct
0.1993 0.6993 0.3986 Tl
0.7998 0.2998 0.5996 Ir
0.0435 0.0435 0.0870 Ir
0.4574 0.4574 0.9148 Sb
```

Computed properties:
N(E_F), states/eV/atom: 0.32
Electronic total energy, eV per atom: -62.58
Energy relative to the elements, uncorrected, eV per atom: 0.38